BaFeRe2, optimized geometry, DFT GGA-PBE; energy relative to the elements = 1.09 eV per atom; E_tot = -7.7281 eV per atom; N(E_F) = 4.2 states/eV/cell; symmetry = Immm, No. 71
1.0
-1.408 2.457 5.339
1.408 -2.457 5.339
1.408 2.457 -5.339
Ba Fe Re
1 1 2
Direct
0.000 0.000 0.000
0.500 0.500 0.000
0.288 0.788 0.500
0.712 0.212 0.500



CeGdB4, optimized geometry, DFT GGA-PBE; energy relative to the elements = 0.25 eV per atom; E_tot = -7.5343 eV per atom; N(E_F) = 4.0 states/eV/cell; symmetry = F-43m, No. 216
1.0
0.000 3.398 3.398
3.398 0.000 3.398
3.398 3.398 0.000
Ce Gd B
1 1 4
Direct
0.000 0.000 0.000
0.250 0.250 0.250
0.226 0.591 0.591
0.591 0.226 0.591
0.591 0.591 0.226
0.591 0.591 0.591



MnBe2Ag, optimized geometry, DFT GGA-PBE; energy relative to the elements = 0.17 eV per atom; E_tot = -4.6953 eV per atom; N(E_F) = 2.2 states/eV/cell; symmetry = P4mm, No. 99
1.0
2.709 0.000 0.000
0.000 2.709 0.000
0.000 0.000 6.337
Mn Be Ag
1 2 1
Direct
0.000 0.000 0.000
0.000 0.000 0.601
0.500 0.500 0.783
0.500 0.500 0.338



BeCdF3, optimized geometry, DFT GGA-PBE; raw formation energy = -2.503 eV/atom; E_tot = -4.5536 eV per atom; symmetry = C2/c, No. 15
1.0
5.229 -5.151 0.000
5.229 5.151 0.000
-0.978 0.000 5.131
Be Cd F
4 4 12
Direct
0.149 0.285 0.310
0.285 0.149 0.810
0.715 0.851 0.190
0.851 0.715 0.690
0.214 0.786 0.250
0.359 0.641 0.750
0.641 0.359 0.250
0.786 0.214 0.750
0.031 0.612 0.744
0.143 0.171 0.552
0.171 0.143 0.052
0.329 0.404 0.382
0.388 0.969 0.756
0.404 0.329 0.882
0.596 0.671 0.118
0.612 0.031 0.244
0.671 0.596 0.618
0.829 0.857 0.948
0.857 0.829 0.448
0.969 0.388 0.256



UAl2Tl3Te6, optimized geometry, DFT GGA-PBE; raw formation energy = -0.373 eV/atom; E_tot = -4.0995 eV per atom; N(E_F) = 11.7 states/eV/cell; symmetry = C2/m, No. 12
1.0
3.729 -6.435 0.000
3.729 6.435 0.000
-2.491 0.000 8.141
U Al Tl Te
1 2 3 6
Direct
0.000 0.000 0.000
0.333 0.667 0.000
0.667 0.333 0.000
0.158 0.842 0.500
0.500 0.500 0.500
0.842 0.158 0.500
0.066 0.420 0.198
0.290 0.290 0.807
0.420 0.066 0.198
0.580 0.934 0.802
0.710 0.710 0.193
0.934 0.580 0.802



KSrP, optimized geometry, DFT GGA-PBE; energy relative to the elements = -0.73 eV per atom; E_tot = -3.4644 eV per atom; symmetry = Pnma, No. 62
1.0
8.559 0.000 0.000
0.000 5.115 0.000
0.000 0.000 8.881
K Sr P
4 4 4
Direct
0.020 0.250 0.169
0.480 0.750 0.669
0.520 0.250 0.331
0.980 0.750 0.831
0.151 0.250 0.585
0.349 0.750 0.085
0.651 0.250 0.915
0.849 0.750 0.415
0.207 0.750 0.400
0.293 0.250 0.900
0.707 0.750 0.100
0.793 0.250 0.600